[1]
A geometry-optimized AcSi2Pd structure. Source: Alexandria, functional PBE-GGA.

The structure in CIF format:
```
data_AcSi2Pd
_space_group_name_H-M_alt 'P 1'
_space_group_IT_number 1
_space_group_name_Hall 'P 1'
_cell_length_a 4.194
_cell_length_b 4.194
_cell_length_c 6.094
_cell_angle_alpha 69.87
_cell_angle_beta 69.87
_cell_angle_gamma 60.00
loop_
_atom_site_label
_atom_site_fract_x
_atom_site_fract_y
_atom_site_fract_z
Si1 0.208 0.208 0.375
Si2 0.792 0.792 0.625
Pd1 0.500 0.500 0.500
Ac1 0.000 0.000 0.000
```

Results
Formation energy from raw total energies   -0.74 eV/atom
Offset from the most stable computed form   0 meV per atom


[2]
A geometry-optimized HfV2Bi structure. Source: Alexandria, functional PBE-GGA.

The structure in CIF format:
```
data_HfV2Bi
_space_group_name_H-M_alt 'P 1'
_space_group_IT_number 1
_space_group_name_Hall 'P 1'
_cell_length_a 7.512
_cell_length_b 7.512
_cell_length_c 6.041
_cell_angle_alpha 51.55
_cell_angle_beta 51.55
_cell_angle_gamma 90.00
loop_
_atom_site_label
_atom_site_fract_x
_atom_site_fract_y
_atom_site_fract_z
Hf1 0.250 0.750 0.500
Hf2 0.500 0.500 0.000
V1 0.123 0.625 0.250
V2 0.875 0.877 0.750
V3 0.627 0.125 0.250
V4 0.375 0.373 0.750
Bi1 0.750 0.250 0.500
Bi2 0.000 0.000 0.000
```

Results
Energy of formation   861 meV/atom
Offset from the most stable computed form   551 meV per atom


[3]
A geometry-optimized TaSi2Pt structure. Source: Alexandria, functional PBE-GGA.

The structure in CIF format:
```
data_TaSi2Pt
_space_group_name_H-M_alt 'P 1'
_space_group_IT_number 1
_space_group_name_Hall 'P 1'
_cell_length_a 5.252
_cell_length_b 5.252
_cell_length_c 5.252
_cell_angle_alpha 139.73
_cell_angle_beta 139.73
_cell_angle_gamma 58.26
loop_
_atom_site_label
_atom_site_fract_x
_atom_site_fract_y
_atom_site_fract_z
Ta1 0.500 0.500 0.000
Si1 0.000 0.000 0.000
Si2 0.250 0.750 0.500
Pt1 0.750 0.250 0.500
```

Results
Formation energy from raw total energies   -0.41 eV/atom


[4]
A geometry-optimized InFe2BSe structure. Source: Alexandria, functional PBE-GGA.

The structure in CIF format:
```
data_InFe2BSe
_space_group_name_H-M_alt 'P 1'
_space_group_IT_number 1
_space_group_name_Hall 'P 1'
_cell_length_a 4.948
_cell_length_b 5.242
_cell_length_c 4.948
_cell_angle_alpha 90.00
_cell_angle_beta 90.00
_cell_angle_gamma 90.00
loop_
_atom_site_label
_atom_site_fract_x
_atom_site_fract_y
_atom_site_fract_z
Fe1 0.500 0.000 0.000
Fe2 0.000 0.000 0.500
B1 0.500 0.500 0.500
Se1 0.000 0.500 0.000
In1 0.000 0.000 0.000
```

Results
Formation energy from raw total energies   2.12 eV/atom


[5]
A geometry-optimized LaPm2Nd2Mg structure. Source: Alexandria, functional PBE-GGA.

The structure in CIF format:
```
data_LaPm2Nd2Mg
_space_group_name_H-M_alt 'P 1'
_space_group_IT_number 1
_space_group_name_Hall 'P 1'
_cell_length_a 3.468
_cell_length_b 6.262
_cell_length_c 19.058
_cell_angle_alpha 90.00
_cell_angle_beta 90.00
_cell_angle_gamma 90.00
loop_
_atom_site_label
_atom_site_fract_x
_atom_site_fract_y
_atom_site_fract_z
Mg1 0.000 0.000 0.500
Mg2 0.500 0.500 0.000
Nd1 0.000 0.168 0.799
Nd2 0.000 0.832 0.201
Nd3 0.500 0.668 0.701
Nd4 0.500 0.332 0.299
Pm1 0.500 0.831 0.364
Pm2 0.500 0.169 0.636
Pm3 0.000 0.669 0.864
Pm4 0.000 0.331 0.136
La1 0.500 0.500 0.500
La2 0.000 0.000 0.000
```

Results
Energy of formation   194 meV/atom


[6]
A geometry-optimized Ac2Te2Se structure. Source: Alexandria, functional PBE-GGA.

The structure in CIF format:
```
data_Ac2Te2Se
_space_group_name_H-M_alt 'P 1'
_space_group_IT_number 1
_space_group_name_Hall 'P 1'
_cell_length_a 4.763
_cell_length_b 8.520
_cell_length_c 9.708
_cell_angle_alpha 90.00
_cell_angle_beta 104.20
_cell_angle_gamma 90.00
loop_
_atom_site_label
_atom_site_fract_x
_atom_site_fract_y
_atom_site_fract_z
Te1 0.806 0.394 0.611
Te2 0.050 0.233 0.099
Te3 0.194 0.894 0.389
Te4 0.950 0.733 0.901
Ac1 0.183 0.489 0.366
Ac2 0.817 0.989 0.634
Ac3 0.552 0.933 0.104
Ac4 0.448 0.433 0.896
Se1 0.598 0.586 0.195
Se2 0.402 0.086 0.805
```

Results
Formation energy from raw total energies   -1.71 eV/atom
Offset from the most stable computed form   0 meV per atom


Number 1: E_tot -5.77 eV/atom, calculated volume 85.2 Å³/cell. Number 2: E_tot -7.16 eV/atom, calculated volume 162.4 Å³/cell. Number 3: E_tot -7.60 eV/atom, calculated volume 60.0 Å³/cell. Number 4: E_tot -3.85 eV/atom, calculated volume 128.3 Å³/cell. Number 5: E_tot -4.07 eV/atom, calculated volume 413.8 Å³/cell. Number 6: E_tot -5.31 eV/atom, calculated volume 381.9 Å³/cell.